Entry 1:
UHPdRu2 | PBE-GGA | optimized geometry

Cell lengths 4.1717, 4.1717, 3.8837 Å; angles 90.00, 90.00, 90.00 degrees
Fractional coordinates of all 5 atoms:
U (0.0000, 0.0000, 0.0000)
H (0.5000, 0.5000, 0.5000)
Pd (0.5000, 0.5000, 0.0000)
Ru (0.0000, 0.5000, 0.5000)
Ru (0.5000, 0.0000, 0.5000)

SG	P4/mmm, No. 123
calculated total energy	-7.952	eV/atom



Entry 2:
V2HPdRu | PBE-GGA | optimized geometry

Cell lengths 3.8978, 3.8978, 3.7913 Å; angles 90.00, 90.00, 90.00 degrees
Fractional coordinates of all 5 atoms:
V (0.0000, 0.5000, 0.0000)
V (0.5000, 0.0000, 0.0000)
H (0.0000, 0.0000, 0.0000)
Pd (0.0000, 0.0000, 0.5000)
Ru (0.5000, 0.5000, 0.5000)

SG	P4/mmm, No. 123
calculated total energy	-7.341	eV/atom



Entry 3:
V2HPdRu | PBE-GGA | optimized geometry

Cell lengths 3.8984, 3.8984, 3.7901 Å; angles 90.00, 90.00, 90.00 degrees
Fractional coordinates of all 5 atoms:
V (0.0000, 0.5000, 0.0000)
V (0.5000, 0.0000, 0.0000)
H (0.0000, 0.0000, 0.0000)
Pd (0.5000, 0.5000, 0.5000)
Ru (0.0000, 0.0000, 0.5000)

SG	P4/mmm, No. 123
calculated total energy	-7.382	eV/atom



Entry 4:
VHPd2Ru | PBE-GGA | optimized geometry

Cell lengths 3.8222, 3.8222, 4.1335 Å; angles 90.00, 90.00, 90.00 degrees
Fractional coordinates of all 5 atoms:
V (0.0000, 0.0000, 0.0000)
H (0.0000, 0.0000, 0.5000)
Pd (0.0000, 0.5000, 0.5000)
Pd (0.5000, 0.0000, 0.5000)
Ru (0.5000, 0.5000, 0.0000)

SG	P4/mmm, No. 123
calculated total energy	-6.437	eV/atom



Entry 5:
VHPd2Ru | PBE-GGA | optimized geometry

Cell lengths 3.8632, 3.8632, 4.0546 Å; angles 90.00, 90.00, 90.00 degrees
Fractional coordinates of all 5 atoms:
V (0.0000, 0.0000, 0.0000)
H (0.5000, 0.5000, 0.5000)
Pd (0.0000, 0.5000, 0.5000)
Pd (0.5000, 0.0000, 0.5000)
Ru (0.5000, 0.5000, 0.0000)

SG	P4/mmm, No. 123
calculated total energy	-6.485	eV/atom



Entry 6:
HPdRu2W | PBE-GGA | optimized geometry

Cell lengths 3.9867, 3.9867, 3.8209 Å; angles 90.00, 90.00, 90.00 degrees
Fractional coordinates of all 5 atoms:
H (0.0000, 0.0000, 0.0000)
Pd (0.0000, 0.0000, 0.5000)
Ru (0.0000, 0.5000, 0.0000)
Ru (0.5000, 0.0000, 0.0000)
W (0.5000, 0.5000, 0.5000)

SG	P4/mmm, No. 123
calculated total energy	-7.941	eV/atom